The following is a PBEsol calculation of Na3YSb after structural relaxation, from the Alexandria database.

abc: 5.9049 5.9049 5.9049
angles: 90.00 90.00 90.00
Last column: nearest neighbours and their distance in Å.
Positions (direct):
Na  0.0000  0.0000  0.5000  2 Y 2.95
Na  0.0000  0.5000  0.0000  2 Y 2.95
Na  0.5000  0.0000  0.0000  2 Y 2.95
Y  0.0000  0.0000  0.0000  6 Na 2.95
Sb  0.5000  0.5000  0.5000  12 Na 4.18

Calculated values
N(E_F)	1.078	states/eV/atom

The following is a PBEsol calculation of NaY3Sb after structural relaxation, from the Alexandria database.

abc: 5.2988 5.2988 5.2988
angles: 90.00 90.00 90.00
Last column: nearest neighbours and their distance in Å.
Positions (direct):
Na  0.0000  0.0000  0.0000  6 Y 2.65
Y  0.0000  0.0000  0.5000  2 Na 2.65
Y  0.0000  0.5000  0.0000  2 Na 2.65
Y  0.5000  0.0000  0.0000  2 Na 2.65
Sb  0.5000  0.5000  0.5000  12 Y 3.75

Calculated values
N(E_F)	1.631	states/eV/atom

The following is a PBEsol calculation of NaYSb2 after structural relaxation, from the Alexandria database.

abc: 5.2871 5.2871 5.2871
angles: 60.00 60.00 60.00
Last column: nearest neighbours and their distance in Å.
Positions (direct):
Na  0.0000  0.0000  0.0000  8 Sb 3.24
Y  0.5000  0.5000  0.5000  8 Sb 3.24
Sb  0.2500  0.2500  0.2500  4 Na 3.24, 4 Y 3.24
Sb  0.7500  0.7500  0.7500  4 Na 3.24, 4 Y 3.24

Calculated values
N(E_F)	0.975	states/eV/atom

The following is a PBEsol calculation of NaZn2Sb2 after structural relaxation, from the Alexandria database.

abc: 8.1652 8.1652 8.1652
angles: 151.61 151.61 40.58
Last column: nearest neighbours and their distance in Å.
Positions (direct):
Na  0.0000  0.0000  0.0000  8 Sb 3.47
Zn  0.2500  0.7500  0.5000  4 Sb 2.71, 4 Zn 2.83
Zn  0.7500  0.2500  0.5000  4 Sb 2.71, 4 Zn 2.83
Sb  0.3692  0.3692  0.0000  4 Zn 2.71
Sb  0.6308  0.6308  0.0000  4 Zn 2.71

Calculated values
N(E_F)	0.238	states/eV/atom

Calculated total energy per entry: -2.032 -4.672 -4.867 -2.877 eV/atom
ΔE_f (raw) per entry: 1.08 0.61 -0.53 -0.14 eV per atom